Arrangement one

Density functional theory data (PBE-GGA) for a relaxed CdPb2Cl crystal.

a b c (Å): 3.4835 3.4835 31.1922
angles (deg): 90.00 90.00 120.00
With the nearest neighbours (Å) after each atom.
Fractional positions:
1 Cd 0.0000 0.0000 0.0000  6 Pb 3.42, 6 Cd 3.48
2 Cd 0.3333 0.6667 0.6667  6 Pb 3.42, 6 Cd 3.48
3 Cd 0.6667 0.3333 0.3333  6 Pb 3.42, 6 Cd 3.48
4 Pb 0.0000 0.0000 0.2448  3 Cl 3.16, 3 Cd 3.42, 6 Pb 3.48
5 Pb 0.0000 0.0000 0.7552  3 Cl 3.16, 3 Cd 3.42, 6 Pb 3.48
6 Pb 0.3333 0.6667 0.4219  3 Cl 3.16, 3 Cd 3.42, 6 Pb 3.48
7 Pb 0.3333 0.6667 0.9114  3 Cl 3.16, 3 Cd 3.42, 6 Pb 3.48
8 Pb 0.6667 0.3333 0.0886  3 Cl 3.16, 3 Cd 3.42, 6 Pb 3.48
9 Pb 0.6667 0.3333 0.5781  3 Cl 3.16, 3 Cd 3.42, 6 Pb 3.48
10 Cl 0.0000 0.0000 0.5000  6 Pb 3.16, 6 Cl 3.48
11 Cl 0.3333 0.6667 0.1667  6 Pb 3.16, 6 Cl 3.48
12 Cl 0.6667 0.3333 0.8333  6 Pb 3.16, 6 Cl 3.48

As for the density of states at the Fermi level: 4.3 states/eV per cell. The total magnetization comes out at 0.00 μB per formula unit.

Arrangement two

Density functional theory data (PBE-GGA) for a relaxed CdPb2Cl crystal.

a b c (Å): 5.3178 3.5293 6.0014
angles (deg): 90.00 90.26 90.00
With the nearest neighbours (Å) after each atom.
Fractional positions:
1 Cd 0.0000 0.0000 0.0000  4 Pb 3.19, 4 Cl 3.48, 2 Cd 3.53
2 Pb 0.5000 0.0000 0.5000  4 Cl 3.19, 6 Pb 3.48-3.53
3 Pb 0.5000 0.5000 0.0000  4 Cd 3.19, 6 Pb 3.48-3.53
4 Cl 0.0000 0.5000 0.5000  4 Pb 3.19, 4 Cd 3.48, 2 Cl 3.53

As for the density of states at the Fermi level: 1.4 states/eV per cell. The total magnetization comes out at 0.00 μB per formula unit.

Arrangement three

Density functional theory data (PBE-GGA) for a relaxed CdPb2Cl crystal.

a b c (Å): 3.6291 5.7452 5.7368
angles (deg): 90.00 100.60 90.00
With the nearest neighbours (Å) after each atom.
Fractional positions:
1 Cd 0.0000 0.0000 0.0000  3 Pb 3.02-3.35, 2 Cl 3.13
2 Pb 0.3044 0.0000 0.5258  3 Cd 3.02-3.35
3 Pb 0.7992 0.5000 0.4879  2 Cl 2.81-3.03
4 Cl 0.6517 0.5000 0.9902  2 Pb 2.81-3.03, 2 Cd 3.13

As for the density of states at the Fermi level: 1.1 states/eV per cell. The total magnetization comes out at 0.00 μB per formula unit.

Stability summary: most stable arrangement three, least stable arrangement one.

Arrangement one

Density functional theory data (PBE-GGA) for a relaxed Cd3PbCl crystal.

a b c (Å): 5.7218 5.7218 5.7218
angles (deg): 90.00 90.00 90.00
With the nearest neighbours (Å) after each atom.
Fractional positions:
1 Cd 0.0000 0.0000 0.5000  2 Pb 2.86
2 Cd 0.0000 0.5000 0.0000  2 Pb 2.86
3 Cd 0.5000 0.0000 0.0000  2 Pb 2.86
4 Pb 0.0000 0.0000 0.0000  6 Cd 2.86
5 Cl 0.5000 0.5000 0.5000  12 Cd 4.05

As for the density of states at the Fermi level: 1.4 states/eV per cell. The total magnetization comes out at 0.00 μB per formula unit.

Arrangement two

Density functional theory data (PBE-GGA) for a relaxed Cd3PbCl crystal.

a b c (Å): 5.4302 5.4302 5.4302
angles (deg): 90.00 90.00 90.00
With the nearest neighbours (Å) after each atom.
Fractional positions:
1 Cd 0.0000 0.0000 0.5000  2 Cl 2.72
2 Cd 0.0000 0.5000 0.0000  2 Cl 2.72
3 Cd 0.5000 0.0000 0.0000  2 Cl 2.72
4 Pb 0.5000 0.5000 0.5000  12 Cd 3.84
5 Cl 0.0000 0.0000 0.0000  6 Cd 2.72

As for the density of states at the Fermi level: 3.2 states/eV per cell. The total magnetization comes out at 0.00 μB per formula unit.

Stability summary: most stable arrangement one, least stable arrangement two.